(P)
This record from Alexandria via LeMat-Bulk describes a relaxed structure of HoTmHg4. The functional is PBE-GGA.

```
data_HoTmHg4
_chemical_formula_sum 'Ho2 Tm2 Hg8'
_cell_length_a 5.1721
_cell_length_b 3.8864
_cell_length_c 14.5152
_cell_angle_alpha 90.00
_cell_angle_beta 90.00
_cell_angle_gamma 90.00
_space_group_name_H-M_alt 'A m m 2'
_space_group_IT_number 38
loop_
_space_group_symop_operation_xyz
'x,y,z'
'-x,-y,z'
'-x,y,z'
'x,-y,z'
'x,y+1/2,z+1/2'
'-x,-y+1/2,z+1/2'
'-x,y+1/2,z+1/2'
'x,-y+1/2,z+1/2'
loop_
_atom_site_label
_atom_site_fract_x
_atom_site_fract_y
_atom_site_fract_z
_atom_site_occupancy
Ho1 0.0000 0.0000 0.0000 1
Tm1 0.5000 0.0000 0.7927 1
Hg1 0.0000 0.0000 0.3315 1
Hg2 0.0000 0.0000 0.6665 1
Hg3 0.5000 0.0000 0.1273 1
Hg4 0.5000 0.0000 0.4601 1
```

Calculated values
Crystal system: orthorhombic
Magnetization in Bohr magnetons per cell: 0.000

(Q)
This record from Alexandria via LeMat-Bulk describes a relaxed structure of HoTmHg4. The functional is PBE-GGA.

```
data_HoTmHg4
_chemical_formula_sum 'Ho2 Tm2 Hg8'
_cell_length_a 11.8785
_cell_length_b 3.5814
_cell_length_c 7.2283
_cell_angle_alpha 90.00
_cell_angle_beta 107.75
_cell_angle_gamma 90.00
_space_group_name_H-M_alt 'C 1 2/m 1'
_space_group_IT_number 12
loop_
_space_group_symop_operation_xyz
'x,y,z'
'-x,-y,-z'
'-x,y,-z'
'x,-y,z'
'x+1/2,y+1/2,z'
'-x+1/2,-y+1/2,-z'
'-x+1/2,y+1/2,-z'
'x+1/2,-y+1/2,z'
loop_
_atom_site_label
_atom_site_fract_x
_atom_site_fract_y
_atom_site_fract_z
_atom_site_occupancy
Ho1 0.0000 0.0000 0.0000 1
Tm1 0.0000 0.0000 0.5000 1
Hg1 0.1658 0.5000 0.3355 1
Hg2 0.1666 0.5000 0.8316 1
```

Calculated values
Crystal system: monoclinic
Magnetization in Bohr magnetons per cell: 0.000

Ranking the structures above by energy, (P) is first and the second is 0.046 eV/atom behind.